# 1
Below is Pu2GeBr after structural relaxation, with properties calculated at the PBE level.

Computed properties:
The excess energy over the best structure of this formula in the dataset comes out at 0.012 eV per atom. As for the uncorrected formation energy: -0.64 eV/atom.

Structure (extended XYZ):
```
4
Lattice="2.153 1.243 6.693 -2.153 1.243 6.693 0.000 -2.486 6.693" Properties=species:S:1:pos:R:3 pbc="T T T"
Pu 0.000 0.000 4.886
Pu 0.000 0.000 15.192
Ge 0.000 0.000 10.039
Br 0.000 0.000 0.000
```

***

# 2
Below is PuGeBr2 after structural relaxation, with properties calculated at the PBE level.

Computed properties:
As for the uncorrected formation energy: -0.14 eV/atom.

Structure (extended XYZ):
```
4
Lattice="1.807 1.043 10.278 -1.807 1.043 10.278 0.000 -2.086 10.278" Properties=species:S:1:pos:R:3 pbc="T T T"
Pu 0.000 0.000 0.000
Ge 0.000 0.000 15.417
Br 0.000 0.000 2.817
Br 0.000 0.000 28.017
```

***

# 3
Below is Pu2GeBr2 after structural relaxation, with properties calculated at the PBE level.

Computed properties:
As for the uncorrected formation energy: -0.97 eV/atom.

Structure (extended XYZ):
```
5
Lattice="2.112 1.219 10.355 -2.112 1.219 10.355 0.000 -2.439 10.355" Properties=species:S:1:pos:R:3 pbc="T T T"
Pu 0.000 0.000 3.534
Pu 0.000 0.000 27.532
Ge 0.000 0.000 15.533
Br 0.000 0.000 8.544
Br 0.000 0.000 22.522
```